[1]
# CrCuRe2

An optimized crystal structure of CrCuRe2 (PBE-GGA, Alexandria via LeMat-Bulk).

Calculated values
**Energy above the most stable polymorph in this dataset**: 61.5 meV per atom
**Total moment**: 0.15 μB/atom
**Formation enthalpy at 0 K**: 0.286 eV/atom

abc: 3.0350 4.2864 8.4657
angles: 90.00 90.00 90.00
Closest atoms and distances in Å follow each position.
Space group Immm (No. 71)
Asymmetric unit:
Cr1 0.0000 0.0000 0.0000 (multiplicity 2)  4 Re 2.51, 4 Cu 2.63
Cu1 0.0000 0.0000 0.5000 (multiplicity 2)  4 Cr 2.63, 8 Re 2.70-2.94
Re1 0.0000 0.5000 0.2631 (multiplicity 4)  2 Cr 2.51, 4 Re 2.64, 2 Cu 2.70

---

[2]
# Pm8Sc

An optimized crystal structure of Pm8Sc (PBE-GGA, Alexandria via LeMat-Bulk).

Calculated values
**Total moment**: 0.00 μB/atom
**Formation enthalpy at 0 K**: 0.029 eV/atom

abc: 10.8315 10.8315 5.0971
angles: 90.00 90.00 90.00
Closest atoms and distances in Å follow each position.
Space group I4/mmm (No. 139)
Asymmetric unit:
Pm1 0.0000 0.3306 0.0000 (multiplicity 8)  1 Sc 3.58, 11 Pm 3.59-3.67
Pm2 0.1638 0.1638 0.5000 (multiplicity 8)  10 Pm 3.55-3.67, 2 Sc 3.58
Sc1 0.0000 0.0000 0.0000 (multiplicity 2)  12 Pm 3.58

---

[3]
# SmSi2Ni5Pt

An optimized crystal structure of SmSi2Ni5Pt (PBE-GGA, Alexandria via LeMat-Bulk).

Calculated values
**Energy relative to the elements, uncorrected**: -181 meV/atom
**Total moment**: 0.00 μB/atom

abc: 4.4472 4.4472 6.6680
angles: 90.00 90.00 90.00
Closest atoms and distances in Å follow each position.
Space group P4/mmm (No. 123)
Asymmetric unit:
Sm1 0.0000 0.0000 0.0000 (multiplicity 1)  12 Ni 2.94-3.14
Si1 0.5000 0.5000 0.3294 (multiplicity 2)  5 Ni 2.20-2.24, 1 Si 2.28
Ni1 0.0000 0.5000 0.2875 (multiplicity 4)  2 Si 2.24
Ni2 0.5000 0.5000 0.0000 (multiplicity 1)  2 Si 2.20
Pt1 0.0000 0.0000 0.5000 (multiplicity 1)  8 Ni 2.64

---

[4]
# Ca4SmEr3Te8

An optimized crystal structure of Ca4SmEr3Te8 (PBE-GGA, Alexandria via LeMat-Bulk).

Calculated values
**Energy relative to the elements, uncorrected**: -1440 meV/atom
**Total moment**: 0.00 μB/atom

abc: 8.7826 8.7826 21.9626
angles: 90.00 90.00 120.00
Closest atoms and distances in Å follow each position.
Space group R-3m (No. 166, hexagonal axes)
Asymmetric unit:
Ca1 0.0000 0.0000 0.0000 (multiplicity 3)  6 Te 3.11
Ca2 0.0000 0.5000 0.0000 (multiplicity 9)  6 Te 3.16
Sm1 0.0000 0.0000 0.5000 (multiplicity 3)  6 Te 3.14
Er1 0.0000 0.5000 0.5000 (multiplicity 9)  6 Te 3.09
Te1 0.0000 0.0000 0.2472 (multiplicity 6)  3 Er 3.09, 3 Ca 3.16
Te2 0.0053 0.5026 0.7515 (multiplicity 18)  2 Er 3.09, 3 Ca 3.11-3.16, 1 Sm 3.14

---

[5]
# PaMn10B2

An optimized crystal structure of PaMn10B2 (PBE-GGA, Alexandria via LeMat-Bulk).

Calculated values
**Total moment**: 0.00 μB/atom
**Formation enthalpy at 0 K**: -0.121 eV/atom

abc: 8.1170 9.1292 7.7043
angles: 90.00 90.00 90.00
Closest atoms and distances in Å follow each position.
Space group Cmcm (No. 63)
Asymmetric unit:
Pa1 0.0000 0.1134 0.2500 (multiplicity 4)  14 Mn 2.73-2.99
Mn1 0.0000 0.1787 0.5954 (multiplicity 8)  2 B 2.25, 4 Mn 2.26-2.41
Mn2 0.0000 0.3864 0.0641 (multiplicity 8)  4 Mn 2.26-2.46, 2 B 2.43
Mn3 0.1377 0.3937 0.7500 (multiplicity 8)  5 Mn 2.24-2.49, 2 B 2.50
Mn4 0.2218 0.0000 0.0000 (multiplicity 8)  2 B 2.29, 8 Mn 2.34-2.54
Mn5 0.2447 0.3584 0.2500 (multiplicity 8)  2 B 2.17, 5 Mn 2.34-2.42
B1 0.2500 0.2500 0.0000 (multiplicity 8)  6 Mn 2.17-2.29

---

[6]
# YCuBi3

An optimized crystal structure of YCuBi3 (PBE-GGA, Alexandria via LeMat-Bulk).

Calculated values
**Energy above the most stable polymorph in this dataset**: 616.9 meV per atom
**Total moment**: 0.00 μB/atom
**Formation enthalpy at 0 K**: 0.705 eV/atom

abc: 5.8541 5.8541 5.8541
angles: 90.00 90.00 90.00
Closest atoms and distances in Å follow each position.
Space group Pm-3m (No. 221)
Asymmetric unit:
Y1 0.0000 0.0000 0.0000 (multiplicity 1)  6 Bi 2.93
Cu1 0.5000 0.5000 0.5000 (multiplicity 1)  12 Bi 4.14
Bi1 0.0000 0.0000 0.5000 (multiplicity 3)  2 Y 2.93